# 1
# KMgPd

An optimized crystal structure of KMgPd (PBE, OQMD).

It has space group F-43m (No. 216), with a = 7.233 Å, b = 7.233 Å, c = 7.233 Å, α = 90.00°, β = 90.00° and γ = 90.00°. The inequivalent atoms are K at (0.000, 0.000, 0.000), Mg at (0.250, 0.250, 0.750) and Pd at (0.250, 0.250, 0.250).

=====

# 2
# NaSm2OsO6

An optimized crystal structure of NaSm2OsO6 (PBE, OQMD).

It has space group P2_1/c (No. 14), with a = 5.445 Å, b = 5.894 Å, c = 9.462 Å, α = 90.00°, β = 123.85° and γ = 90.00°. The inequivalent atoms are Na at (0.000, 0.000, 0.000), Sm at (0.223, 0.075, 0.747), Os at (0.500, 0.000, 0.500), O at (0.146, 0.173, 0.445), O at (0.267, 0.714, 0.429) and O at (0.395, 0.053, 0.266).

For the magnetization, the calculation gives 6.01 Bohr magnetons per cell.

=====

# 3
# SrAg2P4

An optimized crystal structure of SrAg2P4 (PBE, OQMD).

It has space group Fddd (No. 70, origin choice 2), with a = 6.609 Å, b = 8.509 Å, c = 21.866 Å, α = 90.00°, β = 90.00° and γ = 90.00°. The inequivalent atoms are Sr at (0.125, 0.125, 0.125), Ag at (0.125, 0.125, 0.287) and P at (0.051, 0.008, 0.548).

=====

# 4
# Co3AgPb5

An optimized crystal structure of Co3AgPb5 (PBE, OQMD).

It has space group P6/mmm (No. 191), with a = 5.4089 Å, b = 5.4089 Å, c = 7.9210 Å, α = 90.00°, β = 90.00° and γ = 120.00°. The inequivalent atoms are Co at (0.0000, 0.5000, 0.0000), Ag at (0.0000, 0.0000, 0.5000), Pb at (0.0000, 0.0000, 0.0000) and Pb at (0.3333, 0.6667, 0.2851).

For the magnetization, the calculation gives 2.22 Bohr magnetons per cell.

=====

# 5
# LiPrAsO

An optimized crystal structure of LiPrAsO (PBE, OQMD).

It has space group Pmc2_1 (No. 26), with a = 3.771 Å, b = 7.564 Å, c = 6.013 Å, α = 90.00°, β = 90.00° and γ = 90.00°. The inequivalent atoms are Li at (0.000, 0.081, 0.000), Pr at (0.500, 0.283, 0.376), As at (0.500, 0.321, 0.873) and O at (0.000, 0.129, 0.324).

The energy above the lowest structure with this stoichiometry comes out at 0.141 eV per atom. For the magnetization, the calculation gives 0.00 Bohr magnetons per cell.

=====

# 6
# Tm3HfSn2C2

An optimized crystal structure of Tm3HfSn2C2 (PBE, OQMD).

It has space group P3m1 (No. 156), with a = 3.4925 Å, b = 3.4925 Å, c = 15.3375 Å, α = 90.00°, β = 90.00° and γ = 120.00°. The inequivalent atoms are Tm at (0.0000, 0.0000, 0.0000), Tm at (0.0000, 0.0000, 0.3366), Tm at (0.6667, 0.3333, 0.8279), Hf at (0.6667, 0.3333, 0.5013), Sn at (0.0000, 0.0000, 0.6578), Sn at (0.6667, 0.3333, 0.1701), C at (0.3333, 0.6667, 0.4288) and C at (0.3333, 0.6667, 0.9135).

For the magnetization, the calculation gives 0.00 Bohr magnetons per cell.

=====

V across the listed records, respectively: 378.34 252.18 1229.68 200.69 171.51 162.01 Å³ per cell.
Calculated total energy across the listed records, respectively: -1.94 -7.52 -4.37 -4.41 -5.70 -6.87 eV/atom.